(1)
Computed, not measured: a relaxed structure of BaNaFeP2 at the PBE level of DFT.

## Properties
The value obtained for the size of the total moment is 1.8 Bohr magnetons per cell. The volume is 114 Å³ per cell. The formation energy is 0.0882 eV per atom.

Structure (POSCAR):
```
BaNaFeP2
1.0
4.636 0.000 0.000
0.000 5.328 0.000
0.000 0.000 4.636
P Na Ba Fe
2 1 1 1
Direct
0.000 0.000 0.500 P
0.500 0.000 0.000 P
0.500 0.500 0.500 Na
0.000 0.500 0.000 Ba
0.000 0.000 0.000 Fe
```



(2)
Computed, not measured: a relaxed structure of Ba2NaTaFe at the PBE level of DFT.

## Properties
The value obtained for the size of the total moment is 0.0 Bohr magnetons per cell. The volume is 163 Å³ per cell. The formation energy is 1.6698 eV per atom.

Structure (POSCAR):
```
Ba2NaTaFe
1.0
5.536 0.000 0.000
0.000 5.321 0.000
0.000 0.000 5.536
Fe Na Ba Ta
1 1 2 1
Direct
0.000 0.000 0.000 Fe
0.000 0.500 0.000 Na
0.000 0.000 0.500 Ba
0.500 0.000 0.000 Ba
0.500 0.500 0.500 Ta
```



(3)
Computed, not measured: a relaxed structure of Ba2NbFe at the PBE level of DFT.

## Properties
The value obtained for the size of the total moment is 6.2 Bohr magnetons per cell. The volume is 123 Å³ per cell. The formation energy is 1.2326 eV per atom.

Structure (POSCAR):
```
Ba2NbFe
1.0
3.071 -3.536 -3.024
-1.108 -5.463 0.123
-2.213 -2.497 -4.467
Nb Ba Fe
1 2 1
Direct
0.500 0.500 0.500 Nb
0.250 0.250 0.250 Ba
0.750 0.750 0.750 Ba
0.000 0.000 0.000 Fe
```



(4)
Computed, not measured: a relaxed structure of BaNb3Fe at the PBE level of DFT.

## Properties
As for the energy above the lowest structure with this stoichiometry: 2.2213 eV per atom. The value obtained for the size of the total moment is 0.0 Bohr magnetons per cell. The volume is 126 Å³ per cell. The formation energy is 3.0686 eV per atom.

Structure (POSCAR):
```
BaNb3Fe
1.0
-0.958 1.444 4.701
3.046 -3.586 1.723
3.861 3.188 -0.192
Nb Ba Fe
3 1 1
Direct
0.000 0.500 0.000 Nb
0.000 0.000 0.500 Nb
0.500 0.000 0.000 Nb
0.000 0.000 0.000 Ba
0.500 0.500 0.500 Fe
```



(5)
Computed, not measured: a relaxed structure of BaNbFe2 at the PBE level of DFT.

## Properties
As for the energy above the lowest structure with this stoichiometry: 0.0000 eV per atom. The value obtained for the size of the total moment is 0.0 Bohr magnetons per cell. The volume is 194 Å³ per cell. The formation energy is 0.9828 eV per atom.

Structure (POSCAR):
```
BaNbFe2
1.0
-4.571 1.632 0.908
-1.813 -3.299 -3.196
-3.915 -6.126 4.730
Nb Ba Fe
2 2 4
Direct
0.500 0.500 0.000 Nb
0.250 0.750 0.500 Nb
0.000 0.000 0.000 Ba
0.750 0.250 0.500 Ba
0.375 0.125 0.250 Fe
0.375 0.625 0.250 Fe
0.375 0.625 0.750 Fe
0.875 0.625 0.750 Fe
```



(6)
Computed, not measured: a relaxed structure of BaNb2Fe at the PBE level of DFT.

## Properties
The value obtained for the size of the total moment is 0.0 Bohr magnetons per cell. The volume is 76 Å³ per cell. The formation energy is 1.1423 eV per atom.

Structure (POSCAR):
```
BaNb2Fe
1.0
0.000 3.363 3.363
3.363 0.000 3.363
3.363 3.363 0.000
Nb Ba Fe
2 1 1
Direct
0.250 0.250 0.250 Nb
0.750 0.750 0.750 Nb
0.500 0.500 0.500 Ba
0.000 0.000 0.000 Fe
```



(7)
Computed, not measured: a relaxed structure of Ba3NbFe at the PBE level of DFT.

## Properties
As for the energy above the lowest structure with this stoichiometry: 0.0000 eV per atom. The value obtained for the size of the total moment is 4.8 Bohr magnetons per cell. The volume is 192 Å³ per cell. The formation energy is 1.1622 eV per atom.

Structure (POSCAR):
```
Ba3NbFe
1.0
5.764 0.000 0.000
0.000 5.764 0.000
0.000 0.000 5.764
Nb Ba Fe
1 3 1
Direct
0.500 0.500 0.500 Nb
0.000 0.500 0.000 Ba
0.000 0.000 0.500 Ba
0.500 0.000 0.000 Ba
0.000 0.000 0.000 Fe
```



(8)
Computed, not measured: a relaxed structure of BaNbFe2 at the PBE level of DFT.

## Properties
As for the energy above the lowest structure with this stoichiometry: 0.1813 eV per atom. The value obtained for the size of the total moment is 0.0 Bohr magnetons per cell. The volume is 73 Å³ per cell. The formation energy is 1.1641 eV per atom.

Structure (POSCAR):
```
BaNbFe2
1.0
0.000 3.313 3.313
3.313 0.000 3.313
3.313 3.313 0.000
Nb Ba Fe
1 1 2
Direct
0.000 0.000 0.000 Nb
0.500 0.500 0.500 Ba
0.250 0.250 0.250 Fe
0.750 0.750 0.750 Fe
```



(9)
Computed, not measured: a relaxed structure of BaNb3Fe at the PBE level of DFT.

## Properties
As for the energy above the lowest structure with this stoichiometry: 0.0000 eV per atom. The value obtained for the size of the total moment is 0.0 Bohr magnetons per cell. The volume is 113 Å³ per cell. The formation energy is 0.8473 eV per atom.

Structure (POSCAR):
```
BaNb3Fe
1.0
-4.364 -1.931 0.731
1.624 -2.156 4.003
-1.275 3.864 2.599
Nb Ba Fe
3 1 1
Direct
0.000 0.500 0.000 Nb
0.000 0.000 0.500 Nb
0.500 0.000 0.000 Nb
0.500 0.500 0.500 Ba
0.000 0.000 0.000 Fe
```